Crystalline SrCaNbWO6 at its relaxed geometry, computed with PBE with a Hubbard U.

Geometry as extended XYZ:
```
10
Lattice="0.000 4.102 4.102 4.102 0.000 4.102 4.102 4.102 0.000" Properties=species:S:1:pos:R:3 pbc="T T T"
Sr 0.000 0.000 0.000
Ca 4.102 4.102 4.102
Nb 2.051 2.051 2.051
W 6.153 6.153 6.153
O 2.051 2.051 0.054
O 2.051 0.054 2.051
O 4.048 2.051 2.051
O 0.054 2.051 2.051
O 2.051 4.048 2.051
O 2.051 2.051 4.048
```

Properties
Total energy = -7.60 eV per atom
V = 138.0 Å³/cell